Record 1
CaSb | PBE | optimized geometry Values from VASP.

Results
Total energy (eV per atom): -3.85
Fermi-level density of states (states/eV per cell): 2.15
Energy relative to the elements, uncorrected (eV per formula unit): -1.6
ρ (g/cm³): 4.4
Space group: No. 11

Cell and atoms, written as Quantum ESPRESSO input:
```
&SYSTEM
  ibrav = 0, nat = 4, ntyp = 2
/
ATOMIC_SPECIES
Sb 121.76 Sb.upf
Ca 40.08 Ca.upf
ATOMIC_POSITIONS crystal
Sb 0.8401 0.2500 0.7997
Sb 0.1599 0.7500 0.2003
Ca 0.6834 0.2500 0.2703
Ca 0.3166 0.7500 0.7297
CELL_PARAMETERS angstrom
-0.4731 4.2423 2.0384
-4.1351 -0.8744 0.8601
1.8060 -4.1460 4.4673
```



Record 2
TaFeTe2 | PBE | optimized geometry Values from VASP.

Results
Total energy (eV per atom): -6.77
Fermi-level density of states (states/eV per cell): 2.06
Energy relative to the elements, uncorrected (eV per formula unit): -0.5
ρ (g/cm³): 7.7
Space group: No. 115

Cell and atoms, written as Quantum ESPRESSO input:
```
&SYSTEM
  ibrav = 0, nat = 4, ntyp = 3
/
ATOMIC_SPECIES
Fe 55.84 Fe.upf
Ta 180.95 Ta.upf
Te 127.60 Te.upf
ATOMIC_POSITIONS crystal
Fe 0.0000 0.3751 0.6250
Ta 0.5000 0.8749 0.6250
Te 0.0000 0.8752 0.8954
Te 0.5000 0.3748 0.3546
CELL_PARAMETERS angstrom
3.8490 0.0000 0.0000
0.0000 3.8508 -0.0121
0.0000 0.0216 7.1877
```



Record 3
V2PH2 | PBE | optimized geometry Values from VASP.

Results
Total energy (eV per atom): -6.43
Fermi-level density of states (states/eV per cell): 4.81
ρ (g/cm³): 5.1
Space group: No. 139

Cell and atoms, written as Quantum ESPRESSO input:
```
&SYSTEM
  ibrav = 0, nat = 5, ntyp = 3
/
ATOMIC_SPECIES
P 30.97 P.upf
V 50.94 V.upf
H 1.01 H.upf
ATOMIC_POSITIONS crystal
P 0.0000 0.0000 0.0000
V 0.3657 0.3657 0.2686
V 0.6343 0.6343 0.7314
H 0.7500 0.2500 0.5000
H 0.2500 0.7500 0.5000
CELL_PARAMETERS angstrom
2.9715 0.0000 0.0000
0.0000 2.9715 0.0000
1.4858 1.4858 4.9422
```



Record 4
TbSmTm2 | PBE | optimized geometry Values from VASP.

Results
Total energy (eV per atom): -4.56
Fermi-level density of states (states/eV per cell): 5.72
ρ (g/cm³): 8.5
Space group: No. 160
Formation energy from the elements (eV/atom): 0.018

Cell and atoms, written as Quantum ESPRESSO input:
```
&SYSTEM
  ibrav = 0, nat = 4, ntyp = 3
/
ATOMIC_SPECIES
Tb 158.93 Tb.upf
Sm 150.36 Sm.upf
Tm 168.93 Tm.upf
ATOMIC_POSITIONS crystal
Tb 0.6663 0.6663 0.0010
Sm 0.5006 0.5006 0.4983
Tm 0.0825 0.0825 0.7526
Tm 0.2507 0.2507 0.2480
CELL_PARAMETERS angstrom
3.5637 0.0000 0.0000
1.7819 3.0863 0.0000
1.7819 1.0288 11.4389
```



Record 5
TaCdInSiP | PBE | optimized geometry Values from VASP.

Results
Total energy (eV per atom): -5.18
Fermi-level density of states (states/eV per cell): 1.98
Energy relative to the elements, uncorrected (eV per formula unit): 0.4
ρ (g/cm³): 8.1
Space group: No. 1

Cell and atoms, written as Quantum ESPRESSO input:
```
&SYSTEM
  ibrav = 0, nat = 5, ntyp = 5
/
ATOMIC_SPECIES
Cd 112.41 Cd.upf
Si 28.09 Si.upf
In 114.82 In.upf
P 30.97 P.upf
Ta 180.95 Ta.upf
ATOMIC_POSITIONS crystal
Cd 0.9059 0.2829 0.3000
Si 0.2369 0.3748 0.9615
In 0.4778 0.8735 0.4466
P 0.6320 0.4823 0.7505
Ta 0.1887 0.8497 0.8652
CELL_PARAMETERS angstrom
3.4625 0.0050 -0.0450
-0.0029 5.4426 -0.0869
-1.6587 -2.7650 5.1562
```



Record 6
Ac4Cd3Ga5 | PBE | optimized geometry Values from VASP.

Results
Total energy (eV per atom): -3.20
Fermi-level density of states (states/eV per cell): 7.82
ρ (g/cm³): 7.5
Space group: No. 12
Formation energy from the elements (eV/atom): -0.345

Cell and atoms, written as Quantum ESPRESSO input:
```
&SYSTEM
  ibrav = 0, nat = 12, ntyp = 3
/
ATOMIC_SPECIES
Ac 227.00 Ac.upf
Cd 112.41 Cd.upf
Ga 69.72 Ga.upf
ATOMIC_POSITIONS crystal
Ac 0.9720 0.2240 0.8319
Ac 0.2684 0.7230 0.7402
Ac 0.7316 0.2770 0.2598
Ac 0.0280 0.7760 0.1681
Cd 0.3198 0.9559 0.4045
Cd 0.0000 0.5000 0.5000
Cd 0.6802 0.0441 0.5955
Ga 0.5933 0.9133 0.9001
Ga 0.5000 0.5000 0.5000
Ga 0.2783 0.4188 0.0245
Ga 0.7217 0.5812 0.9755
Ga 0.4067 0.0867 0.0999
CELL_PARAMETERS angstrom
-0.8662 -3.3390 3.3925
6.0425 -5.4507 -0.3719
6.0645 2.4400 7.4001
```